No. 1
# BaBiW3, relaxed, DFT PBE
# total moment	0.82	μB/f.u.
# ΔE_f	3579	meV/atom
# E above lowest polymorph	975	meV/atom
# total energy	-5.354	eV per atom
data_BaBiW3
_chemical_formula_sum 'Ba1 Bi1 W3'
_symmetry_space_group_name_H-M 'P m -3 m'
_symmetry_Int_Tables_number 221
_symmetry_space_group_name_Hall '-P 4 2 3'
_cell_length_a 5.0781
_cell_length_b 5.0781
_cell_length_c 5.0781
_cell_angle_alpha 90.00
_cell_angle_beta 90.00
_cell_angle_gamma 90.00
loop_
_atom_site_label
_atom_site_fract_x
_atom_site_fract_y
_atom_site_fract_z
_atom_site_occupancy
Ba1 0.0000 0.0000 0.0000 1
Bi1 0.5000 0.5000 0.5000 1
W1 0.0000 0.0000 0.5000 1


No. 2
# KTa2Se, relaxed, DFT PBE
# total moment	0.00	μB/f.u.
# uncorrected formation energy	777.1	meV per atom
# total energy	-6.295	eV per atom
data_KTa2Se
_chemical_formula_sum 'K1 Ta2 Se1'
_symmetry_space_group_name_H-M 'P 1 2/m 1'
_symmetry_Int_Tables_number 10
_cell_length_a 2.8528
_cell_length_b 5.9943
_cell_length_c 5.2443
_cell_angle_alpha 90.00
_cell_angle_beta 92.14
_cell_angle_gamma 90.00
loop_
_symmetry_equiv_pos_as_xyz
'x,y,z'
'-x,-y,-z'
'-x,y,-z'
'x,-y,z'
loop_
_atom_site_label
_atom_site_fract_x
_atom_site_fract_y
_atom_site_fract_z
_atom_site_occupancy
K1 0.0000 0.0000 0.0000 1
Ta1 0.3519 0.5000 0.2418 1
Se1 0.5000 0.0000 0.5000 1


No. 3
# BaYSn2, relaxed, DFT PBE
# total moment	0.00	μB/f.u.
# ΔE_f	-465	meV/atom
# E above lowest polymorph	175	meV/atom
# total energy	-4.563	eV per atom
data_BaYSn2
_chemical_formula_sum 'Ba4 Y4 Sn8'
_symmetry_space_group_name_H-M 'F m -3 m'
_symmetry_Int_Tables_number 225
_symmetry_space_group_name_Hall '-F 4 2 3'
_cell_length_a 7.9999
_cell_length_b 7.9999
_cell_length_c 7.9999
_cell_angle_alpha 90.00
_cell_angle_beta 90.00
_cell_angle_gamma 90.00
loop_
_atom_site_label
_atom_site_fract_x
_atom_site_fract_y
_atom_site_fract_z
_atom_site_occupancy
Ba1 0.0000 0.0000 0.0000 1
Y1 0.0000 0.0000 0.5000 1
Sn1 0.2500 0.2500 0.2500 1


No. 4
# InSiGe, relaxed, DFT PBE
# total moment	0.00	μB/f.u.
# uncorrected formation energy	199.6	meV per atom
# E above lowest polymorph	0	meV/atom
# total energy	-4.060	eV per atom
data_InSiGe
_chemical_formula_sum 'In2 Si2 Ge2'
_symmetry_space_group_name_H-M 'C 1 m 1'
_symmetry_Int_Tables_number 8
_cell_length_a 6.8121
_cell_length_b 3.9319
_cell_length_c 4.9466
_cell_angle_alpha 90.00
_cell_angle_beta 90.03
_cell_angle_gamma 90.00
loop_
_symmetry_equiv_pos_as_xyz
'x,y,z'
'x,-y,z'
'x+1/2,y+1/2,z'
'x+1/2,-y+1/2,z'
loop_
_atom_site_label
_atom_site_fract_x
_atom_site_fract_y
_atom_site_fract_z
_atom_site_occupancy
In1 0.0000 0.0000 0.0000 1
Si1 0.3339 0.0000 0.3787 1
Ge1 0.1674 0.5000 0.5846 1


No. 5
# NpGe2Bi, relaxed, DFT PBE
# total moment	4.24	μB/f.u.
# ΔE_f	651	meV/atom
# E above lowest polymorph	689	meV/atom
# total energy	-5.864	eV per atom
data_NpGe2Bi
_chemical_formula_sum 'Np3 Ge6 Bi3'
_symmetry_space_group_name_H-M 'R -3 m'
_symmetry_Int_Tables_number 166
_symmetry_space_group_name_Hall '-R 3 2"'
_cell_length_a 4.7651
_cell_length_b 4.7651
_cell_length_c 21.3294
_cell_angle_alpha 90.00
_cell_angle_beta 90.00
_cell_angle_gamma 120.00
loop_
_atom_site_label
_atom_site_fract_x
_atom_site_fract_y
_atom_site_fract_z
_atom_site_occupancy
Np1 0.0000 0.0000 0.0000 1
Ge1 0.0000 0.0000 0.3722 1
Bi1 0.0000 0.0000 0.5000 1


No. 6
# ErThTl2, relaxed, DFT PBE
# total moment	0.00	μB/f.u.
# ΔE_f	-140	meV/atom
# total energy	-4.319	eV per atom
data_ErThTl2
_chemical_formula_sum 'Er3 Th3 Tl6'
_symmetry_space_group_name_H-M 'R -3 m'
_symmetry_Int_Tables_number 166
_symmetry_space_group_name_Hall '-R 3 2"'
_cell_length_a 3.5993
_cell_length_b 3.5993
_cell_length_c 31.3242
_cell_angle_alpha 90.00
_cell_angle_beta 90.00
_cell_angle_gamma 120.00
loop_
_atom_site_label
_atom_site_fract_x
_atom_site_fract_y
_atom_site_fract_z
_atom_site_occupancy
Er1 0.0000 0.0000 0.0000 1
Th1 0.0000 0.0000 0.5000 1
Tl1 0.0000 0.0000 0.2543 1


No. 7
# ZrAg2P, relaxed, DFT PBE
# total moment	0.00	μB/f.u.
# ΔE_f	-386	meV/atom
# total energy	-5.301	eV per atom
data_ZrAg2P
_chemical_formula_sum 'Zr2 Ag4 P2'
_symmetry_space_group_name_H-M 'A m m 2'
_symmetry_Int_Tables_number 38
_cell_length_a 3.5663
_cell_length_b 3.6043
_cell_length_c 11.6397
_cell_angle_alpha 90.00
_cell_angle_beta 90.00
_cell_angle_gamma 90.00
loop_
_symmetry_equiv_pos_as_xyz
'x,y,z'
'-x,-y,z'
'-x,y,z'
'x,-y,z'
'x,y+1/2,z+1/2'
'-x,-y+1/2,z+1/2'
'-x,y+1/2,z+1/2'
'x,-y+1/2,z+1/2'
loop_
_atom_site_label
_atom_site_fract_x
_atom_site_fract_y
_atom_site_fract_z
_atom_site_occupancy
Zr1 0.0000 0.0000 0.0000 1
Ag1 0.0000 0.0000 0.2707 1
Ag2 0.5000 0.0000 0.6663 1
P1 0.5000 0.0000 0.4400 1


No. 8
# BeC2, relaxed, DFT PBE
# total moment	0.00	μB/f.u.
# ΔE_f	1038	meV/atom
# E above lowest polymorph	652	meV/atom
# total energy	-6.353	eV per atom
data_BeC2
_chemical_formula_sum 'Be3 C6'
_symmetry_space_group_name_H-M 'P -3 m 1'
_symmetry_Int_Tables_number 164
_symmetry_space_group_name_Hall '-P 3 2"'
_cell_length_a 3.0169
_cell_length_b 3.0169
_cell_length_c 11.0478
_cell_angle_alpha 90.00
_cell_angle_beta 90.00
_cell_angle_gamma 120.00
loop_
_atom_site_label
_atom_site_fract_x
_atom_site_fract_y
_atom_site_fract_z
_atom_site_occupancy
Be1 0.0000 0.0000 0.0000 1
Be2 0.3333 0.6667 0.3633 1
C1 0.0000 0.0000 0.4420 1
C2 0.3333 0.6667 0.0947 1
C3 0.3333 0.6667 0.2089 1


No. 9
# ScBeNbSn2, relaxed, DFT PBE
# total moment	1.12	μB/f.u.
# ΔE_f	542	meV/atom
# total energy	-5.085	eV per atom
data_ScBeNbSn2
_chemical_formula_sum 'Sc1 Be1 Nb1 Sn2'
_symmetry_space_group_name_H-M 'P 4/m m m'
_symmetry_Int_Tables_number 123
_symmetry_space_group_name_Hall '-P 4 2'
_cell_length_a 4.7246
_cell_length_b 4.7246
_cell_length_c 4.6020
_cell_angle_alpha 90.00
_cell_angle_beta 90.00
_cell_angle_gamma 90.00
loop_
_atom_site_label
_atom_site_fract_x
_atom_site_fract_y
_atom_site_fract_z
_atom_site_occupancy
Sc1 0.0000 0.0000 0.0000 1
Be1 0.0000 0.0000 0.5000 1
Nb1 0.5000 0.5000 0.0000 1
Sn1 0.0000 0.5000 0.5000 1


No. 10
# PaCdH2, relaxed, DFT PBE
# total moment	0.00	μB/f.u.
# total energy	-4.326	eV per atom
data_PaCdH2
_chemical_formula_sum 'Pa3 Cd3 H6'
_symmetry_space_group_name_H-M 'R -3 m'
_symmetry_Int_Tables_number 166
_symmetry_space_group_name_Hall '-R 3 2"'
_cell_length_a 3.2771
_cell_length_b 3.2771
_cell_length_c 19.0361
_cell_angle_alpha 90.00
_cell_angle_beta 90.00
_cell_angle_gamma 120.00
loop_
_atom_site_label
_atom_site_fract_x
_atom_site_fract_y
_atom_site_fract_z
_atom_site_occupancy
Pa1 0.0000 0.0000 0.0000 1
Cd1 0.0000 0.0000 0.5000 1
H1 0.0000 0.0000 0.3931 1


No. 11
# Sn2RhAu, relaxed, DFT PBE
# total moment	0.00	μB/f.u.
# ΔE_f	-121	meV/atom
# E above lowest polymorph	35	meV/atom
# total energy	-4.779	eV per atom
data_Sn2RhAu
_chemical_formula_sum 'Sn2 Rh1 Au1'
_symmetry_space_group_name_H-M 'P 4/m m m'
_symmetry_Int_Tables_number 123
_symmetry_space_group_name_Hall '-P 4 2'
_cell_length_a 3.4531
_cell_length_b 3.4531
_cell_length_c 6.6142
_cell_angle_alpha 90.00
_cell_angle_beta 90.00
_cell_angle_gamma 90.00
loop_
_atom_site_label
_atom_site_fract_x
_atom_site_fract_y
_atom_site_fract_z
_atom_site_occupancy
Sn1 0.0000 0.0000 0.2333 1
Rh1 0.5000 0.5000 0.0000 1
Au1 0.5000 0.5000 0.5000 1


No. 12
# Pm2HoBi3, relaxed, DFT PBE
# total moment	0.00	μB/f.u.
# ΔE_f	-904	meV/atom
# E above lowest polymorph	0	meV/atom
# total energy	-5.191	eV per atom
data_Pm2HoBi3
_chemical_formula_sum 'Pm32 Ho16 Bi48'
_symmetry_space_group_name_H-M 'F d d d'
_symmetry_Int_Tables_number 70
_cell_length_a 9.0763
_cell_length_b 12.8438
_cell_length_c 27.2533
_cell_angle_alpha 90.00
_cell_angle_beta 90.00
_cell_angle_gamma 90.00
loop_
_symmetry_equiv_pos_as_xyz
'x,y,z'
'-x,-y,-z'
'-x+1/4,-y+1/4,z'
'x+1/4,y+1/4,-z'
'x,-y+1/4,-z+1/4'
'-x,y+1/4,z+1/4'
'-x+1/4,y,-z+1/4'
'x+1/4,-y,z+1/4'
'x,y+1/2,z+1/2'
'-x,-y+1/2,-z+1/2'
'-x+1/4,-y+3/4,z+1/2'
'x+1/4,y+3/4,-z+1/2'
'x,-y+3/4,-z+3/4'
'-x,y+3/4,z+3/4'
'-x+1/4,y+1/2,-z+3/4'
'x+1/4,-y+1/2,z+3/4'
'x+1/2,y,z+1/2'
'-x+1/2,-y,-z+1/2'
'-x+3/4,-y+1/4,z+1/2'
'x+3/4,y+1/4,-z+1/2'
'x+1/2,-y+1/4,-z+3/4'
'-x+1/2,y+1/4,z+3/4'
'-x+3/4,y,-z+3/4'
'x+3/4,-y,z+3/4'
'x+1/2,y+1/2,z'
'-x+1/2,-y+1/2,-z'
'-x+3/4,-y+3/4,z'
'x+3/4,y+3/4,-z'
'x+1/2,-y+3/4,-z+1/4'
'-x+1/2,y+3/4,z+1/4'
'-x+3/4,y+1/2,-z+1/4'
'x+3/4,-y+1/2,z+1/4'
loop_
_atom_site_label
_atom_site_fract_x
_atom_site_fract_y
_atom_site_fract_z
_atom_site_occupancy
Pm1 0.1250 0.1250 0.0425 1
Pm2 0.1250 0.1250 0.3740 1
Ho1 0.1250 0.1250 0.5415 1
Bi1 0.1186 0.3750 0.8750 1
Bi2 0.1219 0.3722 0.7094 1


DOS at the Fermi energy, record by record: 1.847; 0.787; 0.516; 0.354; 3.080; 0.873; 0.704; 0.490; 1.010; 1.037; 0.548; 0.121 states/eV per atom